# GGA-PBE K4Rb2TlBi2, relaxed
# Formation energy ... -210 meV per atom
# Magnetization ... 0.01 μB/f.u.
data_K4Rb2TlBi2
_chemical_formula_sum 'K8 Rb4 Tl2 Bi4'
_cell_length_a 16.940
_cell_length_b 9.844
_cell_length_c 5.881
_cell_angle_alpha 90.00
_cell_angle_beta 110.10
_cell_angle_gamma 90.00
_symmetry_space_group_name_H-M 'C 1 2/m 1'
_symmetry_Int_Tables_number 12
loop_
_symmetry_equiv_pos_as_xyz
'x,y,z'
'-x,-y,-z'
'-x,y,-z'
'x,-y,z'
'x+1/2,y+1/2,z'
'-x+1/2,-y+1/2,-z'
'-x+1/2,y+1/2,-z'
'x+1/2,-y+1/2,z'
loop_
_atom_site_label
_atom_site_type_symbol
_atom_site_fract_x
_atom_site_fract_y
_atom_site_fract_z
K1 K 0.143 0.201 0.145
Rb1 Rb 0.136 0.500 0.638
Tl1 Tl 0.000 0.000 0.500
Bi1 Bi 0.209 0.000 0.709



# GGA-PBE InHgBr2, relaxed
# Formation energy without anion corrections ... -0.3332 eV/atom
# Magnetization ... 0.00 μB/f.u.
data_InHgBr2
_chemical_formula_sum 'In2 Hg2 Br4'
_cell_length_a 4.371
_cell_length_b 4.371
_cell_length_c 14.040
_cell_angle_alpha 90.00
_cell_angle_beta 90.00
_cell_angle_gamma 90.00
_symmetry_space_group_name_H-M 'I -4 m 2'
_symmetry_Int_Tables_number 119
_symmetry_space_group_name_Hall 'I -4 -2'
loop_
_atom_site_label
_atom_site_type_symbol
_atom_site_fract_x
_atom_site_fract_y
_atom_site_fract_z
In1 In 0.000 0.000 0.000
Hg1 Hg 0.000 0.500 0.250
Br1 Br 0.000 0.000 0.500
Br2 Br 0.000 0.500 0.750